Tb2Ho6S3: optimized geometry, PBE-GGA.

a b c (Å): 3.718 3.718 24.453
angles (deg): 85.64 85.64 60.00
Positions (direct):
Ho: 0.814 0.814 0.557
Ho: 0.069 0.069 0.793
Ho: 0.186 0.186 0.443
Ho: 0.643 0.643 0.070
Ho: 0.931 0.931 0.207
Ho: 0.357 0.357 0.930
Tb: 0.558 0.558 0.326
Tb: 0.442 0.442 0.674
S: 0.288 0.288 0.137
S: 0.712 0.712 0.863
S: 0.000 0.000 0.000

## Properties
Mass density ... 8.0 g/cm³
Total magnetization ... 0.001 μB per formula unit
Space-group type ... R-3m, No. 166
Calculated total energy ... -5.4984 eV per atom
Volume ... 26.51 Å³ per atom